No. 1
First-principles (PBE) data for crystalline Zr2Pt at its relaxed geometry, as listed in the Alexandria database.

Cell: 8.9154 8.9154 8.9154 Å, 60.00 60.00 60.00°
Last column: nearest neighbours and their distance in Å.
Fractional coordinates of all 24 atoms:
Zr 0.0000 0.0000 0.0000  6 Pt 2.84
Zr 0.0000 0.0000 0.5000  6 Pt 2.84
Zr 0.0000 0.5000 0.0000  6 Pt 2.84
Zr 0.1876 0.1876 0.5624  2 Pt 2.78
Zr 0.1876 0.5624 0.1876  2 Pt 2.78
Zr 0.1876 0.5624 0.5624  2 Pt 2.78
Zr 0.4376 0.4376 0.8124  2 Pt 2.78
Zr 0.4376 0.8124 0.4376  2 Pt 2.78
Zr 0.4376 0.8124 0.8124  2 Pt 2.78
Zr 0.5000 0.0000 0.0000  6 Pt 2.84
Zr 0.5624 0.1876 0.1876  2 Pt 2.78
Zr 0.5624 0.1876 0.5624  2 Pt 2.78
Zr 0.5624 0.5624 0.1876  2 Pt 2.78
Zr 0.8124 0.4376 0.4376  2 Pt 2.78
Zr 0.8124 0.4376 0.8124  2 Pt 2.78
Zr 0.8124 0.8124 0.4376  2 Pt 2.78
Pt 0.1633 0.7789 0.7789  6 Zr 2.78-2.84
Pt 0.2211 0.2211 0.2211  6 Zr 2.78-2.84
Pt 0.2211 0.2211 0.8367  6 Zr 2.78-2.84
Pt 0.2211 0.8367 0.2211  6 Zr 2.78-2.84
Pt 0.7789 0.1633 0.7789  6 Zr 2.78-2.84
Pt 0.7789 0.7789 0.1633  6 Zr 2.78-2.84
Pt 0.7789 0.7789 0.7789  6 Zr 2.78-2.84
Pt 0.8367 0.2211 0.2211  6 Zr 2.78-2.84

Values from the calculation:
Total magnetic moment   0.00 μB per atom
Space-group type   Fd-3m
Energy of formation   -714 meV/atom
Crystal system   cubic

No. 2
First-principles (PBE) data for crystalline Nb2CuS4 at its relaxed geometry, as listed in the Alexandria database.

Cell: 8.4921 3.5147 19.0096 Å, 90.00 90.00 90.00°
Last column: nearest neighbours and their distance in Å.
Fractional coordinates of all 28 atoms:
Nb 0.0507 0.2500 0.0982  5 S 2.27-2.52
Nb 0.1300 0.7500 0.4783  6 S 2.45-2.72
Nb 0.3700 0.2500 0.9783  6 S 2.45-2.72
Nb 0.4493 0.7500 0.5982  5 S 2.27-2.52
Nb 0.5507 0.2500 0.4018  5 S 2.27-2.52
Nb 0.6300 0.7500 0.0217  6 S 2.45-2.72
Nb 0.8700 0.2500 0.5217  6 S 2.45-2.72
Nb 0.9493 0.7500 0.9018  5 S 2.27-2.52
Cu 0.2416 0.7500 0.2671  3 S 2.20-2.21
Cu 0.2584 0.2500 0.7671  3 S 2.20-2.21
Cu 0.7416 0.7500 0.2329  3 S 2.20-2.21
Cu 0.7584 0.2500 0.7329  3 S 2.20-2.21
S 0.0101 0.2500 0.4065  3 Nb 2.45-2.49
S 0.1529 0.2500 0.8734  1 Cu 2.21
S 0.1624 0.7500 0.0190  4 Nb 2.50-2.61
S 0.1806 0.2500 0.2028  2 Cu 2.20, 1 Nb 2.27
S 0.3194 0.7500 0.7028  2 Cu 2.20, 1 Nb 2.27
S 0.3376 0.2500 0.5190  4 Nb 2.50-2.61
S 0.3471 0.7500 0.3734  1 Cu 2.21
S 0.4899 0.7500 0.9065  3 Nb 2.45-2.49
S 0.5101 0.2500 0.0935  3 Nb 2.45-2.49
S 0.6529 0.2500 0.6266  1 Cu 2.21
S 0.6624 0.7500 0.4810  4 Nb 2.50-2.61
S 0.6806 0.2500 0.2972  2 Cu 2.20, 1 Nb 2.27
S 0.8194 0.7500 0.7972  2 Cu 2.20, 1 Nb 2.27
S 0.8376 0.2500 0.9810  4 Nb 2.50-2.61
S 0.8471 0.7500 0.1266  1 Cu 2.21
S 0.9899 0.7500 0.5935  3 Nb 2.45-2.49

Values from the calculation:
Total magnetic moment   0.03 μB per atom
Energy above the lowest structure with this stoichiometry   195 meV per atom
Raw formation energy   -0.734 eV per atom
Space-group type   Pnma
Crystal system   orthorhombic

No. 3
First-principles (PBE) data for crystalline ZrPd3S at its relaxed geometry, as listed in the Alexandria database.

Cell: 4.9147 4.9147 4.9147 Å, 90.00 90.00 90.00°
Last column: nearest neighbours and their distance in Å.
Fractional coordinates of all 5 atoms:
Zr 0.0000 0.0000 0.0000  6 Pd 2.46
Pd 0.0000 0.0000 0.5000  2 Zr 2.46
Pd 0.0000 0.5000 0.0000  2 Zr 2.46
Pd 0.5000 0.0000 0.0000  2 Zr 2.46
S 0.5000 0.5000 0.5000  12 Pd 3.48

Values from the calculation:
Total magnetic moment   0.00 μB per atom
Energy above the lowest structure with this stoichiometry   1024 meV per atom
Raw formation energy   0.896 eV per atom
Space-group type   Pm-3m
Crystal system   cubic

No. 4
First-principles (PBE) data for crystalline TcHRu2Rh at its relaxed geometry, as listed in the Alexandria database.

Cell: 3.9009 3.9009 3.8543 Å, 90.00 90.00 90.00°
Last column: nearest neighbours and their distance in Å.
Fractional coordinates of all 5 atoms:
Tc 0.0000 0.0000 0.0000  8 Ru 2.74, 4 Rh 2.76
H 0.5000 0.5000 0.5000  2 Rh 1.93, 4 Ru 1.95
Ru 0.0000 0.5000 0.5000  2 H 1.95
Ru 0.5000 0.0000 0.5000  2 H 1.95
Rh 0.5000 0.5000 0.0000  2 H 1.93

Values from the calculation:
Total magnetic moment   0.00 μB per atom
Energy above the lowest structure with this stoichiometry   0 meV per atom
Space-group type   P4/mmm
Crystal system   tetragonal

No. 5
First-principles (PBE) data for crystalline Sc2SiSe at its relaxed geometry, as listed in the Alexandria database.

Cell: 6.8127 6.8127 6.8127 Å, 32.77 32.77 32.77°
Last column: nearest neighbours and their distance in Å.
Fractional coordinates of all 4 atoms:
Sc 0.2457 0.2457 0.2457  3 Si 2.69, 3 Se 2.79
Sc 0.7543 0.7543 0.7543  3 Si 2.69, 3 Se 2.79
Si 0.5000 0.5000 0.5000  6 Sc 2.69
Se 0.0000 0.0000 0.0000  6 Sc 2.79

Values from the calculation:
Total magnetic moment   0.00 μB per atom
Energy above the lowest structure with this stoichiometry   81 meV per atom
Raw formation energy   -1.169 eV per atom
Space-group type   R-3m
Crystal system   trigonal

No. 6
First-principles (PBE) data for crystalline Nd2TmTe2S2 at its relaxed geometry, as listed in the Alexandria database.

Cell: 8.7988 8.7988 8.7988 Å, 146.95 146.95 47.44°
Last column: nearest neighbours and their distance in Å.
Fractional coordinates of all 7 atoms:
Nd 0.1162 0.1162 0.0000  4 S 3.13, 1 Te 3.20
Nd 0.8838 0.8838 0.0000  4 S 3.13, 1 Te 3.20
Tm 0.5000 0.5000 0.0000  4 S 2.50
Te 0.3151 0.3151 0.0000  1 Tm 2.98, 1 Nd 3.20
Te 0.6849 0.6849 0.0000  1 Tm 2.98, 1 Nd 3.20
S 0.0000 0.5000 0.5000  2 Tm 2.50
S 0.5000 0.0000 0.5000  2 Tm 2.50

Values from the calculation:
Total magnetic moment   0.00 μB per atom
Raw formation energy   -1.522 eV per atom
Space-group type   I4/mmm
Crystal system   tetragonal

No. 7
First-principles (PBE) data for crystalline HfNiI2N at its relaxed geometry, as listed in the Alexandria database.

Cell: 4.9577 4.9577 4.9418 Å, 90.00 90.00 90.00°
Last column: nearest neighbours and their distance in Å.
Fractional coordinates of all 5 atoms:
Hf 0.0000 0.0000 0.0000  2 Ni 2.47
Ni 0.0000 0.0000 0.5000  2 Hf 2.47, 4 I 2.48
I 0.0000 0.5000 0.5000  2 Ni 2.48
I 0.5000 0.0000 0.5000  2 Ni 2.48
N 0.5000 0.5000 0.0000  8 I 3.50, 4 Hf 3.51

Values from the calculation:
Total magnetic moment   0.00 μB per atom
Energy above the lowest structure with this stoichiometry   1183 meV per atom
Raw formation energy   1.520 eV per atom
Space-group type   P4/mmm
Crystal system   tetragonal

No. 8
First-principles (PBE) data for crystalline AcH2O2F at its relaxed geometry, as listed in the Alexandria database.

Cell: 5.8489 3.9921 6.9588 Å, 90.00 106.84 90.00°
Last column: nearest neighbours and their distance in Å.
Fractional coordinates of all 12 atoms:
Ac 0.0917 0.2500 0.2830  4 O 2.51-2.65, 3 F 2.58, 2 H 2.81
Ac 0.9083 0.7500 0.7170  4 O 2.51-2.65, 3 F 2.58, 2 H 2.81
H 0.3482 0.5427 0.6718  1 O 1.03
H 0.3482 0.9573 0.6718  1 O 1.03
H 0.6518 0.0427 0.3282  1 O 1.03
H 0.6518 0.4573 0.3282  1 O 1.03
O 0.1404 0.2500 0.6535  2 H 1.66
O 0.4369 0.7500 0.6435  2 H 1.03
O 0.5631 0.2500 0.3565  2 H 1.03
O 0.8596 0.7500 0.3465  2 H 1.66
F 0.1813 0.7500 0.0823  3 Ac 2.58
F 0.8187 0.2500 0.9177  3 Ac 2.58

Values from the calculation:
Total magnetic moment   0.00 μB per atom
Space-group type   P2_1/m
DFT total energy   -6.118 eV/atom
Crystal system   monoclinic

No. 9
First-principles (PBE) data for crystalline BaSr2Li6 at its relaxed geometry, as listed in the Alexandria database.

Cell: 9.0956 9.0956 4.3623 Å, 90.00 90.00 120.07°
Last column: nearest neighbours and their distance in Å.
Fractional coordinates of all 9 atoms:
Ba 0.0000 0.0000 0.0000  12 Li 3.77
Sr 0.3334 0.6666 0.0000  12 Li 3.72
Sr 0.6666 0.3334 0.0000  12 Li 3.72
Li 0.0000 0.3379 0.5000  3 Li 2.95-3.07
Li 0.0000 0.6621 0.5000  3 Li 2.95-3.07
Li 0.3379 0.0000 0.5000  3 Li 2.95-3.07
Li 0.3381 0.3381 0.5000  3 Li 2.94-3.07
Li 0.6621 0.0000 0.5000  3 Li 2.95-3.07
Li 0.6619 0.6619 0.5000  3 Li 2.94-3.07

Values from the calculation:
Total magnetic moment   0.00 μB per atom
Space-group type   Cmmm
Energy of formation   58 meV/atom
Crystal system   orthorhombic

No. 10
First-principles (PBE) data for crystalline AuCl3O at its relaxed geometry, as listed in the Alexandria database.

Cell: 4.9256 4.9256 4.9256 Å, 90.00 90.00 90.00°
Last column: nearest neighbours and their distance in Å.
Fractional coordinates of all 5 atoms:
Au 0.0000 0.0000 0.0000  6 Cl 2.46
Cl 0.0000 0.0000 0.5000  2 Au 2.46
Cl 0.0000 0.5000 0.0000  2 Au 2.46
Cl 0.5000 0.0000 0.0000  2 Au 2.46
O 0.5000 0.5000 0.5000  12 Cl 3.48

Values from the calculation:
Total magnetic moment   0.00 μB per atom
Energy above the lowest structure with this stoichiometry   1027 meV per atom
Raw formation energy   0.839 eV per atom
Space-group type   Pm-3m
Crystal system   cubic

No. 11
First-principles (PBE) data for crystalline CeZrB12 at its relaxed geometry, as listed in the Alexandria database.

Cell: 4.0913 4.0913 8.1573 Å, 90.00 90.00 90.00°
Last column: nearest neighbours and their distance in Å.
Fractional coordinates of all 14 atoms:
Ce 0.0000 0.0000 0.0000  24 B 3.01-3.02
Zr 0.0000 0.0000 0.5000  24 B 2.98-3.00
B 0.1982 0.5000 0.2531  5 B 1.62-1.75
B 0.1982 0.5000 0.7469  5 B 1.62-1.75
B 0.5000 0.1982 0.2531  5 B 1.62-1.75
B 0.5000 0.1982 0.7469  5 B 1.62-1.75
B 0.5000 0.5000 0.1006  5 B 1.64-1.75
B 0.5000 0.5000 0.4025  5 B 1.59-1.73
B 0.5000 0.5000 0.5975  5 B 1.59-1.73
B 0.5000 0.5000 0.8994  5 B 1.64-1.75
B 0.5000 0.8018 0.2531  5 B 1.62-1.75
B 0.5000 0.8018 0.7469  5 B 1.62-1.75
B 0.8018 0.5000 0.2531  5 B 1.62-1.75
B 0.8018 0.5000 0.7469  5 B 1.62-1.75

Values from the calculation:
Total magnetic moment   0.07 μB per atom
Space-group type   P4/mmm
Energy of formation   -268 meV/atom
Crystal system   tetragonal

No. 12
First-principles (PBE) data for crystalline LiCrCuSn at its relaxed geometry, as listed in the Alexandria database.

Cell: 4.5007 4.5007 4.5007 Å, 60.00 60.00 60.00°
Last column: nearest neighbours and their distance in Å.
Fractional coordinates of all 4 atoms:
Li 0.0000 0.0000 0.0000  4 Cr 2.76, 4 Cu 2.76
Cr 0.7500 0.7500 0.7500  4 Li 2.76, 4 Sn 2.76
Cu 0.2500 0.2500 0.2500  4 Sn 2.76, 4 Li 2.76
Sn 0.5000 0.5000 0.5000  4 Cr 2.76, 4 Cu 2.76

Values from the calculation:
Total magnetic moment   0.99 μB per atom
Space-group type   F-43m
Energy of formation   52 meV/atom
Crystal system   cubic